Entry from Alexandria: a geometry-optimized Fe2AsSe structure (PBE).

a = 3.974 Å, b = 3.974 Å, c = 5.555 Å
α = 105.51°, β = 105.51°, γ = 47.45°
Sites, in units of the cell vectors:
Fe 0.246 0.246 0.304
Fe 0.754 0.754 0.696
As 0.000 0.000 0.500
Se 0.500 0.500 0.000

Results
Final energy, eV per cell: -24.52
Formation energy (no corrections), meV per atom: 134
Symmetry: C2/m
DOS(E_F), states/eV/f.u.: 4.5
Total magnetic moment, μB per formula unit: 4.26



Entry from Alexandria: a geometry-optimized Fe2AsSe structure (PBE).

a = 6.199 Å, b = 6.199 Å, c = 6.199 Å
α = 150.36°, β = 148.82°, γ = 43.55°
Sites, in units of the cell vectors:
Fe 0.000 0.000 0.000
Fe 0.766 0.266 0.500
As 0.423 0.423 0.000
Se 0.172 0.672 0.500

Results
Final energy, eV per cell: -24.85
Formation energy (no corrections), meV per atom: 52
Symmetry: Imm2
DOS(E_F), states/eV/f.u.: 3.8
Total magnetic moment, μB per formula unit: 4.47



Entry from Alexandria: a geometry-optimized FeAs2Se structure (PBE).

a = 6.300 Å, b = 6.300 Å, c = 6.300 Å
α = 146.05°, β = 146.05°, γ = 48.78°
Sites, in units of the cell vectors:
Fe 0.000 0.000 0.000
As 0.250 0.750 0.500
As 0.750 0.250 0.500
Se 0.500 0.500 0.000

Results
Final energy, eV per cell: -19.30
Formation energy (no corrections), meV per atom: 486
Symmetry: I4/mmm
DOS(E_F), states/eV/f.u.: 4.5
Total magnetic moment, μB per formula unit: 3.21



Entry from Alexandria: a geometry-optimized FeAsSe3 structure (PBE).

a = 4.991 Å, b = 4.991 Å, c = 4.991 Å
α = 90.00°, β = 90.00°, γ = 90.00°
Sites, in units of the cell vectors:
Fe 0.000 0.000 0.000
As 0.500 0.500 0.500
Se 0.000 0.500 0.500
Se 0.500 0.000 0.500
Se 0.500 0.500 0.000

Results
Final energy, eV per cell: -19.44
Formation energy (no corrections), meV per atom: 826
Symmetry: Pm-3m
DOS(E_F), states/eV/f.u.: 7.7
Total magnetic moment, μB per formula unit: 3.90



Entry from Alexandria: a geometry-optimized FeSiAsSe2 structure (PBE).

a = 4.857 Å, b = 4.857 Å, c = 4.432 Å
α = 90.00°, β = 90.00°, γ = 90.00°
Sites, in units of the cell vectors:
Fe 0.000 0.000 0.000
Si 0.500 0.500 0.500
As 0.000 0.000 0.500
Se 0.000 0.500 0.000
Se 0.500 0.000 0.000

Results
Final energy, eV per cell: -22.57
Formation energy (no corrections), meV per atom: 588
E above lowest polymorph, eV per formula unit: 0.00
Symmetry: P4/mmm
DOS(E_F), states/eV/f.u.: 5.8
Total magnetic moment, μB per formula unit: 2.29



Entry from Alexandria: a geometry-optimized FeSiAs2Se structure (PBE).

a = 4.692 Å, b = 4.692 Å, c = 4.699 Å
α = 90.00°, β = 90.00°, γ = 90.00°
Sites, in units of the cell vectors:
Fe 0.000 0.000 0.000
Si 0.500 0.500 0.500
As 0.000 0.500 0.500
As 0.500 0.000 0.500
Se 0.500 0.500 0.000

Results
Final energy, eV per cell: -20.89
Formation energy (no corrections), meV per atom: 1156
E above lowest polymorph, eV per formula unit: 2.92
Symmetry: P4/mmm
DOS(E_F), states/eV/f.u.: 5.7
Total magnetic moment, μB per formula unit: 0.03



Entry from Alexandria: a geometry-optimized FeSiAs2Se structure (PBE).

a = 4.376 Å, b = 4.376 Å, c = 5.321 Å
α = 90.00°, β = 90.00°, γ = 90.00°
Sites, in units of the cell vectors:
Fe 0.000 0.000 0.000
Si 0.500 0.500 0.500
As 0.000 0.500 0.000
As 0.500 0.000 0.000
Se 0.000 0.000 0.500

Results
Final energy, eV per cell: -23.81
Formation energy (no corrections), meV per atom: 571
E above lowest polymorph, eV per formula unit: 0.00
Symmetry: P4/mmm
DOS(E_F), states/eV/f.u.: 3.3
Total magnetic moment, μB per formula unit: 0.00



Entry from Alexandria: a geometry-optimized FeSiAsSe2 structure (PBE).

a = 4.746 Å, b = 4.746 Å, c = 4.702 Å
α = 90.00°, β = 90.00°, γ = 90.00°
Sites, in units of the cell vectors:
Fe 0.000 0.000 0.000
Si 0.500 0.500 0.500
As 0.500 0.500 0.000
Se 0.000 0.500 0.500
Se 0.500 0.000 0.500

Results
Final energy, eV per cell: -20.07
Formation energy (no corrections), meV per atom: 1087
E above lowest polymorph, eV per formula unit: 2.50
Symmetry: P4/mmm
DOS(E_F), states/eV/f.u.: 6.6
Total magnetic moment, μB per formula unit: 0.13



Entry from Alexandria: a geometry-optimized Fe2SnAsSe structure (PBE).

a = 4.539 Å, b = 4.539 Å, c = 5.592 Å
α = 90.00°, β = 90.00°, γ = 90.00°
Sites, in units of the cell vectors:
Fe 0.000 0.500 0.000
Fe 0.500 0.000 0.000
Sn 0.000 0.000 0.500
As 0.000 0.000 0.000
Se 0.500 0.500 0.500

Results
Final energy, eV per cell: -26.02
Formation energy (no corrections), meV per atom: 608
Symmetry: P4/mmm
DOS(E_F), states/eV/f.u.: 5.1
Total magnetic moment, μB per formula unit: 6.50



Entry from Alexandria: a geometry-optimized FeSnAsSe2 structure (PBE).

a = 5.248 Å, b = 5.248 Å, c = 5.203 Å
α = 90.00°, β = 90.00°, γ = 90.00°
Sites, in units of the cell vectors:
Fe 0.000 0.000 0.000
Sn 0.500 0.500 0.500
As 0.500 0.500 0.000
Se 0.000 0.500 0.500
Se 0.500 0.000 0.500

Results
Final energy, eV per cell: -18.97
Formation energy (no corrections), meV per atom: 1022
E above lowest polymorph, eV per formula unit: 3.97
Symmetry: P4/mmm
DOS(E_F), states/eV/f.u.: 7.5
Total magnetic moment, μB per formula unit: 4.13



Entry from Alexandria: a geometry-optimized FeSnAsSe2 structure (PBE).

a = 4.991 Å, b = 4.991 Å, c = 4.368 Å
α = 90.00°, β = 90.00°, γ = 90.00°
Sites, in units of the cell vectors:
Fe 0.000 0.000 0.000
Sn 0.500 0.500 0.500
As 0.000 0.000 0.500
Se 0.000 0.500 0.000
Se 0.500 0.000 0.000

Results
Final energy, eV per cell: -22.94
Formation energy (no corrections), meV per atom: 228
E above lowest polymorph, eV per formula unit: 0.00
Symmetry: P4/mmm
DOS(E_F), states/eV/f.u.: 8.8
Total magnetic moment, μB per formula unit: 0.00



Entry from Alexandria: a geometry-optimized SrFeAs2Se structure (PBE).

a = 4.490 Å, b = 4.490 Å, c = 5.647 Å
α = 90.00°, β = 90.00°, γ = 90.00°
Sites, in units of the cell vectors:
Sr 0.000 0.000 0.000
Fe 0.500 0.500 0.500
As 0.000 0.500 0.500
As 0.500 0.000 0.500
Se 0.500 0.500 0.000

Results
Final energy, eV per cell: -25.02
Formation energy (no corrections), meV per atom: -419
E above lowest polymorph, eV per formula unit: 0.00
Symmetry: P4/mmm
DOS(E_F), states/eV/f.u.: 3.1
Total magnetic moment, μB per formula unit: 0.00



Entry from Alexandria: a geometry-optimized SrFeAsSe2 structure (PBE).

a = 5.124 Å, b = 5.124 Å, c = 4.462 Å
α = 90.00°, β = 90.00°, γ = 90.00°
Sites, in units of the cell vectors:
Sr 0.000 0.000 0.000
Fe 0.500 0.500 0.500
As 0.500 0.500 0.000
Se 0.000 0.500 0.500
Se 0.500 0.000 0.500

Results
Final energy, eV per cell: -24.47
Formation energy (no corrections), meV per atom: -542
E above lowest polymorph, eV per formula unit: 0.00
Symmetry: P4/mmm
DOS(E_F), states/eV/f.u.: 4.8
Total magnetic moment, μB per formula unit: 1.98



Entry from Alexandria: a geometry-optimized SrFeAs2Se structure (PBE).

a = 5.622 Å, b = 5.622 Å, c = 5.596 Å
α = 90.00°, β = 90.00°, γ = 90.00°
Sites, in units of the cell vectors:
Sr 0.000 0.000 0.000
Fe 0.500 0.500 0.500
As 0.000 0.500 0.000
As 0.500 0.000 0.000
Se 0.000 0.000 0.500

Results
Final energy, eV per cell: -16.72
Formation energy (no corrections), meV per atom: 1243
E above lowest polymorph, eV per formula unit: 8.31
Symmetry: P4/mmm
DOS(E_F), states/eV/f.u.: 9.4
Total magnetic moment, μB per formula unit: 2.90



Entry from Alexandria: a geometry-optimized SrFeAsSe2 structure (PBE).

a = 5.663 Å, b = 5.663 Å, c = 5.671 Å
α = 90.00°, β = 90.00°, γ = 90.00°
Sites, in units of the cell vectors:
Sr 0.000 0.000 0.000
Fe 0.500 0.500 0.500
As 0.000 0.000 0.500
Se 0.000 0.500 0.000
Se 0.500 0.000 0.000

Results
Final energy, eV per cell: -16.87
Formation energy (no corrections), meV per atom: 979
E above lowest polymorph, eV per formula unit: 7.60
Symmetry: P4/mmm
DOS(E_F), states/eV/f.u.: 11.0
Total magnetic moment, μB per formula unit: 2.71



Entry from Alexandria: a geometry-optimized TaFeAsSe2 structure (PBE).

a = 4.645 Å, b = 4.645 Å, c = 4.440 Å
α = 90.00°, β = 90.00°, γ = 90.00°
Sites, in units of the cell vectors:
Ta 0.000 0.000 0.000
Fe 0.500 0.500 0.500
As 0.500 0.500 0.000
Se 0.000 0.500 0.500
Se 0.500 0.000 0.500

Results
Final energy, eV per cell: -28.18
Formation energy (no corrections), meV per atom: 751
E above lowest polymorph, eV per formula unit: 1.03
Symmetry: P4/mmm
DOS(E_F), states/eV/f.u.: 6.7
Total magnetic moment, μB per formula unit: 1.28



Entry from Alexandria: a geometry-optimized TaFeAsSe2 structure (PBE).

a = 4.971 Å, b = 4.971 Å, c = 5.092 Å
α = 90.00°, β = 90.00°, γ = 90.00°
Sites, in units of the cell vectors:
Ta 0.000 0.000 0.000
Fe 0.500 0.500 0.500
As 0.000 0.000 0.500
Se 0.000 0.500 0.000
Se 0.500 0.000 0.000

Results
Final energy, eV per cell: -29.21
Formation energy (no corrections), meV per atom: 544
E above lowest polymorph, eV per formula unit: 0.00
Symmetry: P4/mmm
DOS(E_F), states/eV/f.u.: 5.3
Total magnetic moment, μB per formula unit: 3.90



Entry from Alexandria: a geometry-optimized FeTcAsSe2 structure (PBE).

a = 4.925 Å, b = 4.925 Å, c = 4.736 Å
α = 90.00°, β = 90.00°, γ = 90.00°
Sites, in units of the cell vectors:
Fe 0.000 0.000 0.000
Tc 0.500 0.500 0.500
As 0.500 0.500 0.000
Se 0.000 0.500 0.500
Se 0.500 0.000 0.500

Results
Final energy, eV per cell: -26.25
Formation energy (no corrections), meV per atom: 840
E above lowest polymorph, eV per formula unit: 0.00
Symmetry: P4/mmm
DOS(E_F), states/eV/f.u.: 8.3
Total magnetic moment, μB per formula unit: 2.83



Entry from Alexandria: a geometry-optimized FeTeAs2Se structure (PBE).

a = 4.474 Å, b = 4.474 Å, c = 5.230 Å
α = 90.00°, β = 90.00°, γ = 90.00°
Sites, in units of the cell vectors:
Fe 0.000 0.000 0.000
Te 0.500 0.500 0.500
As 0.000 0.500 0.000
As 0.500 0.000 0.000
Se 0.000 0.000 0.500

Results
Final energy, eV per cell: -22.67
Formation energy (no corrections), meV per atom: 344
E above lowest polymorph, eV per formula unit: 0.00
Symmetry: P4/mmm
DOS(E_F), states/eV/f.u.: 4.7
Total magnetic moment, μB per formula unit: 0.00



Entry from Alexandria: a geometry-optimized TiFeAs2Se structure (PBE).

a = 4.388 Å, b = 4.388 Å, c = 5.191 Å
α = 90.00°, β = 90.00°, γ = 90.00°
Sites, in units of the cell vectors:
Ti 0.000 0.000 0.000
Fe 0.500 0.500 0.500
As 0.000 0.500 0.500
As 0.500 0.000 0.500
Se 0.500 0.500 0.000

Results
Final energy, eV per cell: -27.51
Formation energy (no corrections), meV per atom: 327
E above lowest polymorph, eV per formula unit: 0.00
Symmetry: P4/mmm
DOS(E_F), states/eV/f.u.: 5.8
Total magnetic moment, μB per formula unit: 2.32